Arrangement w

{
  "formula": "SrSe2SN",
  "functional": "PBE",
  "state": "optimized geometry",
  "crystal_system": "tetragonal",
  "lattice_angstrom": [[-1.1074, 3.7496, 3.8270], [-3.8630, 2.1492, -3.2234], [-2.3516, -2.1248, 1.4014]],
  "species": ["Sr", "S", "Se", "Se", "N"],
  "frac_coords": [[0.5000, 0.5000, 0.5000], [0.0000, 0.0000, 0.0000], [0.0000, 0.5000, 0.0000], [0.5000, 0.0000, 0.0000], [0.0000, 0.0000, 0.5000]]
}

Arrangement x

{
  "formula": "SrSe2SN",
  "functional": "PBE",
  "state": "optimized geometry",
  "crystal_system": "tetragonal",
  "lattice_angstrom": [[-3.8363, 4.3852, 1.4660], [-2.1693, -0.0248, -5.6027], [-3.0948, -3.1126, 1.2121]],
  "species": ["Sr", "S", "Se", "Se", "N"],
  "frac_coords": [[0.0000, 0.0000, 0.0000], [0.5000, 0.5000, 0.5000], [0.0000, 0.5000, 0.0000], [0.5000, 0.0000, 0.0000], [0.0000, 0.0000, 0.5000]]
}

So which one wins? Going from most stable to least: arrangement w, arrangement x.

Arrangement w

{
  "formula": "SrSeSN2",
  "functional": "PBE",
  "state": "optimized geometry",
  "crystal_system": "tetragonal",
  "lattice_angstrom": [[4.1110, 0.0000, 0.0000], [0.0000, 4.1110, 0.0000], [0.0000, 0.0000, 4.9526]],
  "species": ["Sr", "S", "Se", "N", "N"],
  "frac_coords": [[0.5000, 0.5000, 0.5000], [0.0000, 0.0000, 0.0000], [0.0000, 0.0000, 0.5000], [0.0000, 0.5000, 0.0000], [0.5000, 0.0000, 0.0000]]
}

Arrangement x

{
  "formula": "SrSeSN2",
  "functional": "PBE",
  "state": "optimized geometry",
  "crystal_system": "tetragonal",
  "lattice_angstrom": [[-3.1277, 2.6159, 0.1101], [-1.1713, -1.2446, -3.7035], [-2.9027, -3.5597, 2.1143]],
  "species": ["Sr", "S", "Se", "N", "N"],
  "frac_coords": [[0.5000, 0.5000, 0.5000], [0.0000, 0.0000, 0.5000], [0.0000, 0.0000, 0.0000], [0.0000, 0.5000, 0.0000], [0.5000, 0.0000, 0.0000]]
}

Arrangement y

{
  "formula": "SrSeSN2",
  "functional": "PBE",
  "state": "optimized geometry",
  "crystal_system": "tetragonal",
  "lattice_angstrom": [[4.7511, 0.0000, 0.0000], [0.0000, 4.7511, 0.0000], [0.0000, 0.0000, 6.3206]],
  "species": ["Sr", "S", "Se", "N", "N"],
  "frac_coords": [[0.0000, 0.0000, 0.0000], [0.5000, 0.5000, 0.5000], [0.0000, 0.0000, 0.5000], [0.0000, 0.5000, 0.0000], [0.5000, 0.0000, 0.0000]]
}

So which one wins? Going from most stable to least: arrangement x, arrangement w, arrangement y.